# 1
Here is an optimized crystal structure of La2ScSb4Pd3 from Alexandria via LeMat-Bulk. Energies are from PBE.

```
La2ScSb4Pd3
1.0
4.588 0.000 0.000
0.000 4.588 0.000
0.000 0.000 11.550
Pd Sb La Sc
3 4 2 1
Cartesian
0.000 0.000 5.775
2.294 0.000 10.075
0.000 2.294 1.474
0.000 2.294 4.105
0.000 0.000 0.000
2.294 0.000 7.444
2.294 2.294 0.000
2.294 0.000 2.716
0.000 2.294 8.833
2.294 2.294 5.775
```

Calculated values
Final energy in eV per atom: -5.72
Formation energy (no corrections) in eV per atom: -0.89

***

# 2
Here is an optimized crystal structure of La2SmSb3Pd4 from Alexandria via LeMat-Bulk. Energies are from PBE.

```
La2SmSb3Pd4
1.0
-1.170 1.811 -4.034
4.008 -1.329 -1.759
-4.730 -10.084 -3.156
Pd Sb La Sm
4 3 2 1
Cartesian
1.419 0.241 -2.897
0.000 0.000 0.000
-3.642 -5.611 -4.057
0.331 -4.232 -1.996
-4.708 -7.884 -4.768
-2.365 -5.042 -1.578
1.397 -1.959 -1.285
-1.731 -8.628 -3.372
-1.580 -1.215 -2.681
-0.946 -4.801 -4.475
```

Calculated values
Final energy in eV per atom: -5.72
Formation energy (no corrections) in eV per atom: -0.95

***

# 3
Here is an optimized crystal structure of La3SnSb2Pd9 from Alexandria via LeMat-Bulk. Energies are from PBE.

```
La3SnSb2Pd9
1.0
-0.881 -6.851 0.607
4.241 2.533 -4.866
6.926 -0.373 5.842
Sn Pd La Sb
1 9 3 2
Cartesian
3.463 -0.187 2.921
2.875 -0.338 0.361
4.861 -5.877 4.149
1.680 -2.159 -2.130
4.895 -2.935 -2.201
7.412 -4.354 1.223
5.425 1.186 -2.566
5.391 -1.757 3.784
2.121 1.266 -2.433
-0.440 -3.425 0.303
7.685 -0.873 1.304
0.000 0.000 0.000
2.601 -3.819 0.279
6.403 -4.024 3.487
3.883 -0.668 -1.903
```

Calculated values
Final energy in eV per atom: -5.46
Formation energy (no corrections) in eV per atom: -0.55

***

# 4
Here is an optimized crystal structure of LaSn2Sb2Pd7 from Alexandria via LeMat-Bulk. Energies are from PBE.

```
LaSn2Sb2Pd7
1.0
4.079 -0.012 -0.155
-0.007 4.079 -0.155
1.381 1.380 15.453
Pd La Sn Sb
7 1 2 2
Cartesian
3.336 3.331 8.736
4.154 2.108 1.997
3.340 1.295 13.147
2.036 2.034 -0.155
2.118 2.115 6.407
2.113 4.152 1.997
1.299 3.339 13.147
0.000 0.000 0.000
1.367 1.366 8.988
4.086 4.081 6.156
2.176 2.174 3.761
3.277 3.273 11.382
```

Calculated values
Final energy in eV per atom: -5.24
Formation energy (no corrections) in eV per atom: -0.45

***

# 5
Here is an optimized crystal structure of La2TbSb3Pd4 from Alexandria via LeMat-Bulk. Energies are from PBE.

```
La2TbSb3Pd4
1.0
4.553 0.000 0.000
0.000 4.553 0.000
0.000 0.000 11.542
Sb Pd Tb La
3 4 1 2
Cartesian
0.000 0.000 5.771
2.277 0.000 10.047
0.000 2.277 1.495
2.277 0.000 7.430
0.000 2.277 4.112
0.000 0.000 0.000
2.277 2.277 0.000
2.277 2.277 5.771
2.277 0.000 2.464
0.000 2.277 9.078
```

Calculated values
Final energy in eV per atom: -5.72
Formation energy (no corrections) in eV per atom: -0.96

***

# 6
Here is an optimized crystal structure of LaThSb2Pd2 from Alexandria via LeMat-Bulk. Energies are from PBE.

```
LaThSb2Pd2
1.0
4.579 0.000 0.000
-2.290 3.966 0.000
0.000 0.000 8.322
Sb La Pd Th
2 1 2 1
Cartesian
0.000 2.644 6.320
2.290 1.322 2.002
0.000 0.000 0.000
0.000 2.644 2.381
2.290 1.322 5.941
0.000 0.000 4.161
```

Calculated values
Final energy in eV per atom: -6.21
Formation energy (no corrections) in eV per atom: -1.05

***

# 7
Here is an optimized crystal structure of La2ThSb3Pd4 from Alexandria via LeMat-Bulk. Energies are from PBE.

```
La2ThSb3Pd4
1.0
-2.041 -0.936 -4.059
3.903 -2.009 -1.500
-3.603 -10.092 4.140
Pd Th La Sb
4 1 2 3
Cartesian
0.000 0.000 0.000
0.931 -1.472 -2.779
-3.343 -6.973 0.639
0.671 -4.591 0.722
-0.870 -6.518 -0.709
-0.914 -9.032 2.544
-1.758 -2.532 -1.182
-4.165 -9.277 1.585
-1.801 -5.046 2.070
1.494 -2.287 -0.224
```

Calculated values
Final energy in eV per atom: -5.95
Formation energy (no corrections) in eV per atom: -0.90

***

# 8
Here is an optimized crystal structure of La2TiSb4Pd3 from Alexandria via LeMat-Bulk. Energies are from PBE.

```
La2TiSb4Pd3
1.0
-0.670 4.076 -1.906
-2.768 -1.893 -3.075
-8.903 1.774 6.921
Sb La Pd Ti
4 2 3 1
Cartesian
-1.719 1.092 -2.491
-6.010 3.169 3.458
-4.612 -0.303 0.972
0.000 0.000 0.000
-2.523 2.474 0.747
-8.099 0.391 3.683
-4.451 0.887 3.460
-8.063 3.578 5.054
-2.559 -0.712 -0.624
-6.170 1.979 0.970
```

Calculated values
Final energy in eV per atom: -5.79
Formation energy (no corrections) in eV per atom: -0.81